Entry 1:
{"formula": "CsZnBP2O8", "functional": "meta-GGA SCAN", "state": "single point on PBEsol structure", "lattice_angstrom": [[7.556, 0.020, 0.032], [-2.000, 7.586, -0.023], [-1.787, -4.320, 6.507]], "species": ["Cs", "Cs", "Zn", "Zn", "B", "B", "P", "P", "P", "P", "O", "O", "O", "O", "O", "O", "O", "O", "O", "O", "O", "O", "O", "O", "O", "O"], "frac_coords": [[0.261, 0.653, 0.406], [0.739, 0.347, 0.594], [0.203, 0.292, 0.741], [0.797, 0.708, 0.259], [0.703, 0.932, 0.932], [0.297, 0.068, 0.068], [0.554, 0.227, 0.930], [0.961, 0.898, 0.727], [0.039, 0.102, 0.273], [0.446, 0.773, 0.070], [0.401, 0.974, 0.154], [0.097, 0.285, 0.493], [0.450, 0.242, 0.083], [0.745, 0.426, 0.043], [0.599, 0.026, 0.846], [0.588, 0.806, 0.262], [0.986, 0.110, 0.755], [0.014, 0.890, 0.245], [0.903, 0.715, 0.507], [0.205, 0.174, 0.203], [0.550, 0.758, 0.917], [0.412, 0.194, 0.738], [0.157, 0.906, 0.855], [0.255, 0.574, 0.957], [0.795, 0.826, 0.797], [0.843, 0.094, 0.145]], "total_energy_ev_per_cell": -323.0, "m_tot_mub_per_fu": 0.0, "sg": "P-1 (2)", "formation_energy_uncorrected_ev_per_atom": -2.47, "rho_g_cm3": 3.55}

Entry 2:
{"formula": "CsZn2B3O7", "functional": "meta-GGA SCAN", "state": "single point on PBEsol structure", "lattice_angstrom": [[-1.112, -6.855, 4.843], [9.183, 4.867, 1.597], [-6.166, 8.263, 10.279]], "species": ["Cs", "Cs", "Cs", "Cs", "Cs", "Cs", "Zn", "Zn", "Zn", "Zn", "Zn", "Zn", "Zn", "Zn", "Zn", "Zn", "Zn", "Zn", "B", "B", "B", "B", "B", "B", "B", "B", "B", "B", "B", "B", "B", "B", "B", "B", "B", "B", "O", "O", "O", "O", "O", "O", "O", "O", "O", "O", "O", "O", "O", "O", "O", "O", "O", "O", "O", "O", "O", "O", "O", "O", "O", "O", "O", "O", "O", "O", "O", "O", "O", "O", "O", "O", "O", "O", "O", "O", "O", "O"], "frac_coords": [[0.610, 0.220, 0.799], [0.390, 0.780, 0.299], [0.613, 0.227, 0.155], [0.387, 0.773, 0.655], [0.004, 0.008, 0.229], [0.996, 0.992, 0.729], [0.005, 0.383, 0.985], [0.378, 0.383, 0.985], [0.995, 0.617, 0.485], [0.622, 0.617, 0.485], [0.981, 0.581, 0.823], [0.600, 0.581, 0.823], [0.019, 0.419, 0.323], [0.400, 0.419, 0.323], [0.606, 0.590, 0.146], [0.984, 0.590, 0.146], [0.394, 0.410, 0.646], [0.016, 0.410, 0.646], [0.754, 0.507, 0.984], [0.246, 0.493, 0.484], [0.769, 0.068, 0.978], [0.299, 0.068, 0.978], [0.231, 0.932, 0.478], [0.701, 0.932, 0.478], [0.675, 0.849, 0.064], [0.174, 0.849, 0.064], [0.325, 0.151, 0.564], [0.826, 0.151, 0.564], [0.774, 0.549, 0.651], [0.226, 0.451, 0.151], [0.668, 0.844, 0.896], [0.176, 0.844, 0.896], [0.332, 0.156, 0.396], [0.824, 0.156, 0.396], [0.775, 0.550, 0.315], [0.225, 0.450, 0.815], [0.657, 0.784, 0.146], [0.127, 0.784, 0.146], [0.343, 0.216, 0.646], [0.873, 0.216, 0.646], [0.741, 0.995, 0.061], [0.254, 0.995, 0.061], [0.259, 0.005, 0.561], [0.746, 0.005, 0.561], [0.820, 0.205, 0.976], [0.385, 0.205, 0.976], [0.180, 0.795, 0.476], [0.615, 0.795, 0.476], [0.773, 0.545, 0.220], [0.227, 0.455, 0.720], [0.633, 0.551, 0.360], [0.918, 0.551, 0.360], [0.367, 0.449, 0.860], [0.082, 0.449, 0.860], [0.889, 0.496, 0.031], [0.608, 0.496, 0.031], [0.111, 0.504, 0.531], [0.392, 0.504, 0.531], [0.762, 0.523, 0.890], [0.238, 0.477, 0.390], [0.733, 0.990, 0.896], [0.257, 0.990, 0.896], [0.267, 0.010, 0.396], [0.743, 0.010, 0.396], [0.905, 0.527, 0.695], [0.622, 0.527, 0.695], [0.095, 0.473, 0.195], [0.378, 0.473, 0.195], [0.796, 0.592, 0.560], [0.204, 0.408, 0.060], [0.635, 0.777, 0.981], [0.143, 0.777, 0.981], [0.365, 0.223, 0.481], [0.857, 0.223, 0.481], [0.645, 0.774, 0.817], [0.129, 0.774, 0.817], [0.355, 0.226, 0.317], [0.871, 0.226, 0.317]], "total_energy_ev_per_cell": -964.1, "m_tot_mub_per_fu": 0.0, "sg": "Cmc2_1 (36)", "formation_energy_uncorrected_ev_per_atom": -2.30, "rho_g_cm3": 3.43}

Entry 3:
{"formula": "CsBP2", "functional": "meta-GGA SCAN", "state": "single point on PBEsol structure", "lattice_angstrom": [[-2.933, -4.897, 2.361], [1.238, -0.267, -6.046], [5.791, 0.870, 1.966]], "species": ["Cs", "Cs", "P", "P", "P", "P", "B", "B"], "frac_coords": [[0.000, 0.000, 0.000], [0.500, 0.750, 0.250], [0.828, 0.453, 0.125], [0.172, 0.297, 0.625], [0.672, 0.375, 0.547], [0.328, 0.875, 0.703], [0.000, 0.500, 0.500], [0.500, 0.250, 0.750]], "total_energy_ev_per_cell": -129.9, "m_tot_mub_per_fu": 0.0, "sg": "I-42d (122)", "rho_g_cm3": 3.89, "formation_energy_ev_per_atom": 0.274}

Entry 4:
{"formula": "CsBPS2", "functional": "meta-GGA SCAN", "state": "single point on PBEsol structure", "lattice_angstrom": [[5.472, 0.000, 0.000], [0.000, 5.472, 0.000], [0.000, 0.000, 5.628]], "species": ["Cs", "P", "S", "S", "B"], "frac_coords": [[0.000, 0.000, 0.000], [0.000, 0.000, 0.500], [0.000, 0.500, 0.000], [0.500, 0.000, 0.000], [0.500, 0.500, 0.500]], "total_energy_ev_per_cell": -62.7, "m_tot_mub_per_fu": 2.5, "sg": "P4/mmm (123)", "formation_energy_uncorrected_ev_per_atom": 2.43, "rho_g_cm3": 2.35}

Entry 5:
{"formula": "CsRbSiB2", "functional": "meta-GGA SCAN", "state": "single point on PBEsol structure", "lattice_angstrom": [[-4.454, 1.947, 1.674], [-2.429, -2.110, -4.010], [-0.999, -5.126, 3.303]], "species": ["Cs", "Si", "B", "B", "Rb"], "frac_coords": [[0.000, 0.000, 0.000], [0.500, 0.500, 0.500], [0.000, 0.500, 0.000], [0.500, 0.000, 0.000], [0.000, 0.000, 0.500]], "total_energy_ev_per_cell": -70.2, "m_tot_mub_per_fu": 0.0, "sg": "P4/mmm (123)", "formation_energy_uncorrected_ev_per_atom": 2.65, "rho_g_cm3": 2.73}

Entry 6:
{"formula": "CsRbTlB2", "functional": "meta-GGA SCAN", "state": "single point on PBEsol structure", "lattice_angstrom": [[-2.947, 1.526, -4.225], [-2.054, -4.951, -0.355], [-4.672, 1.662, 3.859]], "species": ["Cs", "Tl", "B", "B", "Rb"], "frac_coords": [[0.000, 0.000, 0.500], [0.500, 0.500, 0.500], [0.000, 0.500, 0.000], [0.500, 0.000, 0.000], [0.000, 0.000, 0.000]], "total_energy_ev_per_cell": -135.0, "m_tot_mub_per_fu": 0.0, "sg": "P4/mmm (123)", "rho_g_cm3": 4.07, "formation_energy_ev_per_atom": 2.155}

Please write out number 1 again, unchanged.
{"formula": "CsZnBP2O8", "functional": "meta-GGA SCAN", "state": "single point on PBEsol structure", "lattice_angstrom": [[7.556, 0.020, 0.032], [-2.000, 7.586, -0.023], [-1.787, -4.320, 6.507]], "species": ["Cs", "Cs", "Zn", "Zn", "B", "B", "P", "P", "P", "P", "O", "O", "O", "O", "O", "O", "O", "O", "O", "O", "O", "O", "O", "O", "O", "O"], "frac_coords": [[0.261, 0.653, 0.406], [0.739, 0.347, 0.594], [0.203, 0.292, 0.741], [0.797, 0.708, 0.259], [0.703, 0.932, 0.932], [0.297, 0.068, 0.068], [0.554, 0.227, 0.930], [0.961, 0.898, 0.727], [0.039, 0.102, 0.273], [0.446, 0.773, 0.070], [0.401, 0.974, 0.154], [0.097, 0.285, 0.493], [0.450, 0.242, 0.083], [0.745, 0.426, 0.043], [0.599, 0.026, 0.846], [0.588, 0.806, 0.262], [0.986, 0.110, 0.755], [0.014, 0.890, 0.245], [0.903, 0.715, 0.507], [0.205, 0.174, 0.203], [0.550, 0.758, 0.917], [0.412, 0.194, 0.738], [0.157, 0.906, 0.855], [0.255, 0.574, 0.957], [0.795, 0.826, 0.797], [0.843, 0.094, 0.145]], "total_energy_ev_per_cell": -323.0, "m_tot_mub_per_fu": 0.0, "sg": "P-1 (2)", "formation_energy_uncorrected_ev_per_atom": -2.47, "rho_g_cm3": 3.55}